# 1
The following is a PBE-GGA calculation of an optimized crystal structure of Ca3Zr2UAs6, from the Alexandria database.

Calculated values
magnetization = 0.139 μB per atom

Geometry as CIF:
```
data_Ca3Zr2UAs6
_cell_length_a 6.975
_cell_length_b 12.079
_cell_length_c 7.211
_cell_angle_alpha 90.00
_cell_angle_beta 108.81
_cell_angle_gamma 90.00
_space_group_name_H-M_alt 'C 1 2/m 1'
_space_group_IT_number 12
loop_
_space_group_symop_operation_xyz
'x,y,z'
'-x,-y,-z'
'-x,y,-z'
'x,-y,z'
'x+1/2,y+1/2,z'
'-x+1/2,-y+1/2,-z'
'-x+1/2,y+1/2,-z'
'x+1/2,-y+1/2,z'
loop_
_atom_site_label
_atom_site_fract_x
_atom_site_fract_y
_atom_site_fract_z
Ca1 0.000 0.000 0.000
Ca2 0.000 0.334 0.000
Zr1 0.000 0.167 0.500
U1 0.000 0.500 0.500
As1 0.239 0.000 0.727
As2 0.244 0.332 0.728
```

# 2
The following is a PBE-GGA calculation of an optimized crystal structure of Ca4ZrU3As8, from the Alexandria database.

Calculated values
magnetization = 0.364 μB per atom

Geometry as CIF:
```
data_Ca4ZrU3As8
_cell_length_a 8.2081
_cell_length_b 8.2081
_cell_length_c 20.5584
_cell_angle_alpha 90.00
_cell_angle_beta 90.00
_cell_angle_gamma 120.00
_space_group_name_H-M_alt 'R -3 m'
_space_group_IT_number 166
_space_group_name_Hall '-R 3 2"'
loop_
_atom_site_label
_atom_site_fract_x
_atom_site_fract_y
_atom_site_fract_z
Ca1 0.0000 0.0000 0.0000
Ca2 0.0000 0.5000 0.0000
Zr1 0.0000 0.0000 0.5000
U1 0.0000 0.5000 0.5000
As1 0.0000 0.0000 0.2445
As2 0.0051 0.5026 0.2429
```

# 3
The following is a PBE-GGA calculation of an optimized crystal structure of CaVAs2, from the Alexandria database.

Calculated values
magnetization = 0.240 μB per atom
energy above the lowest structure with this stoichiometry = 29.6 kJ per mole of atoms

Geometry as CIF:
```
data_CaVAs2
_cell_length_a 3.3905
_cell_length_b 3.3905
_cell_length_c 27.4428
_cell_angle_alpha 90.00
_cell_angle_beta 90.00
_cell_angle_gamma 120.00
_space_group_name_H-M_alt 'R -3 m'
_space_group_IT_number 166
_space_group_name_Hall '-R 3 2"'
loop_
_atom_site_label
_atom_site_fract_x
_atom_site_fract_y
_atom_site_fract_z
Ca1 0.0000 0.0000 0.0000
V1 0.0000 0.0000 0.5000
As1 0.0000 0.0000 0.1072
```

# 4
The following is a PBE-GGA calculation of an optimized crystal structure of CaV2As2, from the Alexandria database.

Calculated values
magnetization = 0.000 μB per atom
energy above the lowest structure with this stoichiometry = 0.0 kJ per mole of atoms

Geometry as CIF:
```
data_CaV2As2
_cell_length_a 4.758
_cell_length_b 4.758
_cell_length_c 8.220
_cell_angle_alpha 90.00
_cell_angle_beta 90.00
_cell_angle_gamma 90.00
_space_group_name_H-M_alt 'I 4/m m m'
_space_group_IT_number 139
_space_group_name_Hall '-I 4 2'
loop_
_atom_site_label
_atom_site_fract_x
_atom_site_fract_y
_atom_site_fract_z
Ca1 0.000 0.000 0.000
V1 0.000 0.000 0.378
As1 0.000 0.500 0.250
```

# 5
The following is a PBE-GGA calculation of an optimized crystal structure of Ca3VAs, from the Alexandria database.

Calculated values
magnetization = 1.138 μB per atom
energy above the lowest structure with this stoichiometry = 55.7 kJ per mole of atoms

Geometry as CIF:
```
data_Ca3VAs
_cell_length_a 5.589
_cell_length_b 5.589
_cell_length_c 5.589
_cell_angle_alpha 90.00
_cell_angle_beta 90.00
_cell_angle_gamma 90.00
_space_group_name_H-M_alt 'P m -3 m'
_space_group_IT_number 221
_space_group_name_Hall '-P 4 2 3'
loop_
_atom_site_label
_atom_site_fract_x
_atom_site_fract_y
_atom_site_fract_z
Ca1 0.000 0.000 0.500
V1 0.000 0.000 0.000
As1 0.500 0.500 0.500
```

# 6
The following is a PBE-GGA calculation of an optimized crystal structure of Ca2VAs, from the Alexandria database.

Calculated values
magnetization = 0.862 μB per atom

Geometry as CIF:
```
data_Ca2VAs
_cell_length_a 10.617
_cell_length_b 10.617
_cell_length_c 4.817
_cell_angle_alpha 90.00
_cell_angle_beta 90.00
_cell_angle_gamma 90.00
_space_group_name_H-M_alt 'I -4 2 d'
_space_group_IT_number 122
_space_group_name_Hall 'I -4 2bw'
loop_
_atom_site_label
_atom_site_fract_x
_atom_site_fract_y
_atom_site_fract_z
Ca1 0.097 0.750 0.125
V1 0.000 0.000 0.500
As1 0.000 0.000 0.000
```

# 7
The following is a PBE-GGA calculation of an optimized crystal structure of CaVAs, from the Alexandria database.

Calculated values
magnetization = 0.000 μB per atom

Geometry as CIF:
```
data_CaVAs
_cell_length_a 10.912
_cell_length_b 8.520
_cell_length_c 8.118
_cell_angle_alpha 90.00
_cell_angle_beta 132.21
_cell_angle_gamma 90.00
_space_group_name_H-M_alt 'C 1 c 1'
_space_group_IT_number 9
loop_
_space_group_symop_operation_xyz
'x,y,z'
'x,-y,z+1/2'
'x+1/2,y+1/2,z'
'x+1/2,-y+1/2,z+1/2'
loop_
_atom_site_label
_atom_site_fract_x
_atom_site_fract_y
_atom_site_fract_z
Ca1 0.000 0.075 0.000
Ca2 0.329 0.175 0.658
V1 0.036 0.343 0.673
V2 0.191 0.408 0.985
As1 0.138 0.367 0.243
As2 0.224 0.117 0.915
```

# 8
The following is a PBE-GGA calculation of an optimized crystal structure of Ca3VAs, from the Alexandria database.

Calculated values
magnetization = 1.126 μB per atom
energy above the lowest structure with this stoichiometry = 0.0 kJ per mole of atoms

Geometry as CIF:
```
data_Ca3VAs
_cell_length_a 5.588
_cell_length_b 5.588
_cell_length_c 5.588
_cell_angle_alpha 90.00
_cell_angle_beta 90.00
_cell_angle_gamma 90.00
_space_group_name_H-M_alt 'P m -3 m'
_space_group_IT_number 221
_space_group_name_Hall '-P 4 2 3'
loop_
_atom_site_label
_atom_site_fract_x
_atom_site_fract_y
_atom_site_fract_z
Ca1 0.000 0.000 0.500
V1 0.500 0.500 0.500
As1 0.000 0.000 0.000
```

# 9
The following is a PBE-GGA calculation of an optimized crystal structure of CaVAs2, from the Alexandria database.

Calculated values
magnetization = 0.290 μB per atom
energy above the lowest structure with this stoichiometry = 0.0 kJ per mole of atoms

Geometry as CIF:
```
data_CaVAs2
_cell_length_a 7.098
_cell_length_b 7.098
_cell_length_c 7.400
_cell_angle_alpha 90.00
_cell_angle_beta 90.00
_cell_angle_gamma 90.00
_space_group_name_H-M_alt 'I -4 2 d'
_space_group_IT_number 122
_space_group_name_Hall 'I -4 2bw'
loop_
_atom_site_label
_atom_site_fract_x
_atom_site_fract_y
_atom_site_fract_z
Ca1 0.000 0.000 0.000
V1 0.000 0.000 0.500
As1 0.195 0.250 0.625
```

# 10
The following is a PBE-GGA calculation of an optimized crystal structure of Ca2VAs2, from the Alexandria database.

Calculated values
magnetization = 0.582 μB per atom

Geometry as CIF:
```
data_Ca2VAs2
_cell_length_a 7.188
_cell_length_b 7.188
_cell_length_c 4.301
_cell_angle_alpha 90.00
_cell_angle_beta 90.00
_cell_angle_gamma 90.00
_space_group_name_H-M_alt 'P 4/m b m'
_space_group_IT_number 127
_space_group_name_Hall '-P 4 2ab'
loop_
_atom_site_label
_atom_site_fract_x
_atom_site_fract_y
_atom_site_fract_z
Ca1 0.157 0.343 0.000
V1 0.000 0.000 0.500
As1 0.156 0.656 0.500
```

# 11
The following is a PBE-GGA calculation of an optimized crystal structure of CaV2As2, from the Alexandria database.

Calculated values
magnetization = 0.298 μB per atom
energy above the lowest structure with this stoichiometry = 13.0 kJ per mole of atoms

Geometry as CIF:
```
data_CaV2As2
_cell_length_a 7.460
_cell_length_b 7.460
_cell_length_c 3.174
_cell_angle_alpha 90.00
_cell_angle_beta 90.00
_cell_angle_gamma 90.00
_space_group_name_H-M_alt 'P 4/m b m'
_space_group_IT_number 127
_space_group_name_Hall '-P 4 2ab'
loop_
_atom_site_label
_atom_site_fract_x
_atom_site_fract_y
_atom_site_fract_z
Ca1 0.000 0.000 0.000
V1 0.108 0.392 0.000
As1 0.169 0.669 0.500
```

# 12
The following is a PBE-GGA calculation of an optimized crystal structure of CaVAs2, from the Alexandria database.

Calculated values
magnetization = 0.531 μB per atom
energy above the lowest structure with this stoichiometry = 6.3 kJ per mole of atoms

Geometry as CIF:
```
data_CaVAs2
_cell_length_a 6.746
_cell_length_b 6.746
_cell_length_c 6.746
_cell_angle_alpha 90.00
_cell_angle_beta 90.00
_cell_angle_gamma 90.00
_space_group_name_H-M_alt 'F m -3 m'
_space_group_IT_number 225
_space_group_name_Hall '-F 4 2 3'
loop_
_atom_site_label
_atom_site_fract_x
_atom_site_fract_y
_atom_site_fract_z
Ca1 0.000 0.000 0.000
V1 0.000 0.000 0.500
As1 0.250 0.250 0.250
```

# 13
The following is a PBE-GGA calculation of an optimized crystal structure of CaY2VAs, from the Alexandria database.

Calculated values
magnetization = 0.711 μB per atom

Geometry as CIF:
```
data_CaY2VAs
_cell_length_a 5.586
_cell_length_b 5.586
_cell_length_c 5.127
_cell_angle_alpha 90.00
_cell_angle_beta 90.00
_cell_angle_gamma 90.00
_space_group_name_H-M_alt 'P 4/m m m'
_space_group_IT_number 123
_space_group_name_Hall '-P 4 2'
loop_
_atom_site_label
_atom_site_fract_x
_atom_site_fract_y
_atom_site_fract_z
Ca1 0.000 0.000 0.000
Y1 0.000 0.500 0.000
V1 0.500 0.500 0.500
As1 0.000 0.000 0.500
```

| no. | E_form (meV per atom) |
| --- | --- |
| 1 | -1115 |
| 2 | -1025 |
| 3 | -121 |
| 4 | -351 |
| 5 | 622 |
| 6 | -32 |
| 7 | -346 |
| 8 | 45 |
| 9 | -427 |
| 10 | -648 |
| 11 | -216 |
| 12 | -362 |
| 13 | 1178 |